P) {"formula": "KTe3N", "functional": "PBE", "state": "relaxed", "lattice": [[6.126, 0.000, 0.000], [0.000, 6.126, 0.000], [0.000, 0.000, 6.126]], "species": ["K", "Te", "Te", "Te", "N"], "fractional_positions": [[0.000, 0.000, 0.000], [0.000, 0.000, 0.500], [0.000, 0.500, 0.000], [0.500, 0.000, 0.000], [0.500, 0.500, 0.500]], "volume_a3_per_atom": 45.98, "sg": "Pm-3m", "total_magnetization_mub_per_atom": 0.46}

=====

Q) {"formula": "KTe3N", "functional": "PBE", "state": "relaxed", "lattice": [[4.954, 0.000, 0.000], [0.000, 4.954, 0.000], [0.000, 0.000, 4.954]], "species": ["K", "Te", "Te", "Te", "N"], "fractional_positions": [[0.000, 0.000, 0.000], [0.000, 0.500, 0.500], [0.500, 0.000, 0.500], [0.500, 0.500, 0.000], [0.500, 0.500, 0.500]], "volume_a3_per_atom": 24.32, "sg": "Pm-3m", "total_magnetization_mub_per_atom": 0.00}

=====

Stability summary: most stable Q), least stable P).

=====

P) {"formula": "KTiTeN2", "functional": "PBE", "state": "relaxed", "lattice": [[4.650, 0.000, 0.000], [0.000, 4.650, 0.000], [0.000, 0.000, 6.514]], "species": ["K", "Ti", "Te", "N", "N"], "fractional_positions": [[0.000, 0.000, 0.000], [0.500, 0.500, 0.500], [0.000, 0.000, 0.500], [0.000, 0.500, 0.000], [0.500, 0.000, 0.000]], "volume_a3_per_atom": 28.17, "sg": "P4/mmm", "total_magnetization_mub_per_atom": 0.60}

=====

Q) {"formula": "KTiTeN2", "functional": "PBE", "state": "relaxed", "lattice": [[4.486, 0.000, 0.000], [0.000, 4.486, 0.000], [0.000, 0.000, 5.064]], "species": ["K", "Ti", "Te", "N", "N"], "fractional_positions": [[0.000, 0.000, 0.000], [0.500, 0.500, 0.000], [0.500, 0.500, 0.500], [0.000, 0.500, 0.500], [0.500, 0.000, 0.500]], "volume_a3_per_atom": 20.38, "sg": "P4/mmm", "total_magnetization_mub_per_atom": 0.00}

=====

R) {"formula": "KTiTeN2", "functional": "PBE", "state": "relaxed", "lattice": [[4.268, 0.000, 0.000], [0.000, 4.268, 0.000], [0.000, 0.000, 5.446]], "species": ["K", "Ti", "Te", "N", "N"], "fractional_positions": [[0.000, 0.000, 0.000], [0.500, 0.500, 0.500], [0.500, 0.500, 0.000], [0.000, 0.500, 0.500], [0.500, 0.000, 0.500]], "volume_a3_per_atom": 19.84, "sg": "P4/mmm", "total_magnetization_mub_per_atom": 0.54}

=====

Stability summary: most stable R), least stable P).

=====

P) {"formula": "KTlTeN2", "functional": "PBE", "state": "relaxed", "lattice": [[4.829, 0.000, 0.000], [0.000, 4.829, 0.000], [0.000, 0.000, 6.013]], "species": ["K", "Tl", "Te", "N", "N"], "fractional_positions": [[0.000, 0.000, 0.000], [0.500, 0.500, 0.500], [0.500, 0.500, 0.000], [0.000, 0.500, 0.500], [0.500, 0.000, 0.500]], "volume_a3_per_atom": 28.04, "sg": "P4/mmm", "total_magnetization_mub_per_atom": 0.83}

=====

Q) {"formula": "KTlTeN2", "functional": "PBE", "state": "relaxed", "lattice": [[5.142, 0.000, 0.000], [0.000, 5.142, 0.000], [0.000, 0.000, 6.859]], "species": ["K", "Tl", "Te", "N", "N"], "fractional_positions": [[0.000, 0.000, 0.000], [0.500, 0.500, 0.500], [0.000, 0.000, 0.500], [0.000, 0.500, 0.000], [0.500, 0.000, 0.000]], "volume_a3_per_atom": 36.27, "sg": "P4/mmm", "total_magnetization_mub_per_atom": 1.18}

=====

Stability summary: most stable P), least stable Q).

=====

P) {"formula": "KTlTe2N", "functional": "PBE", "state": "relaxed", "lattice": [[6.454, 0.000, 0.000], [0.000, 6.454, 0.000], [0.000, 0.000, 5.150]], "species": ["K", "Tl", "Te", "Te", "N"], "fractional_positions": [[0.000, 0.000, 0.000], [0.500, 0.500, 0.500], [0.000, 0.500, 0.000], [0.500, 0.000, 0.000], [0.000, 0.000, 0.500]], "volume_a3_per_atom": 42.91, "sg": "P4/mmm", "total_magnetization_mub_per_atom": 1.00}

=====

Q) {"formula": "KTlTe2N", "functional": "PBE", "state": "relaxed", "lattice": [[6.143, 0.000, 0.000], [0.000, 6.143, 0.000], [0.000, 0.000, 4.449]], "species": ["K", "Tl", "Te", "Te", "N"], "fractional_positions": [[0.000, 0.000, 0.000], [0.500, 0.500, 0.500], [0.000, 0.500, 0.500], [0.500, 0.000, 0.500], [0.500, 0.500, 0.000]], "volume_a3_per_atom": 33.57, "sg": "P4/mmm", "total_magnetization_mub_per_atom": 0.58}

=====

Stability summary: most stable Q), least stable P).